Here is K2CdIn after structural relaxation from Alexandria. Energies are from PBE-GGA.

Computed properties:
* calculated total energy: -1.51 eV per atom
* calculated volume: 41.9 A^3/atom
* ρ: 3.03 Mg/m³
* total magnetic moment: 0.00 μB per formula unit
* density of states at the Fermi level: 1.496 states/eV per cell
* energy of formation from the pure elements: -0.05 eV per atom
* space group: Amm2

Lattice parameters (Å, degrees): 5.125 7.099 7.099 40.45 90.00 90.00
Element x y z (fractional)
K 0.000 0.000 0.000
K 0.500 0.310 0.310
Cd 0.500 0.604 0.604
In 0.000 0.709 0.709